Material: YCoReB
Method: DFT, GGA-PBE
State: relaxed

abc: 4.2945 4.2945 4.2945
angles: 60.00 60.00 60.00
Sites, in units of the cell vectors:
Y (0.5000, 0.5000, 0.5000)
Co (0.7500, 0.7500, 0.7500)
B (0.0000, 0.0000, 0.0000)
Re (0.2500, 0.2500, 0.2500)

As for the space group: F-43m. The calculation puts the total energy at -7.24 eV/atom.



Material: SrAgNO
Method: DFT, GGA-PBE
State: relaxed

abc: 6.5952 6.9932 5.7190
angles: 90.00 90.00 90.00
Sites, in units of the cell vectors:
O (0.9318, 0.3787, 0.9453)
O (0.5682, 0.3787, 0.4453)
O (0.0682, 0.6213, 0.4453)
O (0.4318, 0.6213, 0.9453)
Sr (0.9168, 0.3154, 0.5261)
Sr (0.0832, 0.6846, 0.0261)
Sr (0.4168, 0.6846, 0.5261)
Sr (0.5832, 0.3154, 0.0261)
N (0.6605, 0.0023, 0.6996)
N (0.3394, 0.9977, 0.1996)
N (0.8395, 0.0023, 0.1996)
N (0.1605, 0.9977, 0.6996)
Ag (0.8920, 0.8624, 0.5314)
Ag (0.3920, 0.1376, 0.5314)
Ag (0.1080, 0.1376, 0.0314)
Ag (0.6080, 0.8624, 0.0314)

As for the space group: Pca2_1. The calculation puts the total energy at -4.86 eV/atom.



Polymorph energy (0 for the lowest one): 0.000; 0.008 (eV/atom)